VASP calculation (SCAN) on a PBEsol-optimized structure of Ba2NbFeO6.

The space group is P-3m1 (No. 164) and the conventional cell measures 5.6988, 5.6988 and 13.8374 Å, with angles of 90.00, 90.00 and 120.00 degrees. The inequivalent atoms are Ba at (0.0000, 0.0000, 0.2483), Ba at (0.3333, 0.6667, 0.5947), Ba at (0.3333, 0.6667, 0.9072), Nb at (0.0000, 0.0000, 0.0000), Nb at (0.3333, 0.6667, 0.3467), Fe at (0.0000, 0.0000, 0.5000), Fe at (0.3333, 0.6667, 0.1576), O at (0.0293, 0.5146, 0.2462), O at (0.1621, 0.3242, 0.4216) and O at (0.1694, 0.3387, 0.0823).

The total DFT energy (no corrections) comes out at -19.466 eV/atom. The calculation puts the mass density at 6.65 g/cm³. The uncorrected formation energy comes out at -260 kJ per mole of atoms.

VASP calculation (SCAN) on a PBEsol-optimized structure of HgAs3Pb.

The space group is Pm-3m (No. 221) and the conventional cell measures 5.352, 5.352 and 5.352 Å, with angles of 90.00, 90.00 and 90.00 degrees. The inequivalent atoms are Hg at (0.000, 0.000, 0.000), As at (0.000, 0.500, 0.500) and Pb at (0.500, 0.500, 0.500).

The total DFT energy (no corrections) comes out at -39.730 eV/atom. The calculation puts the mass density at 6.85 g/cm³. As for the formation energy: 1.174 eV/atom.